Run a
The following is a PBE-GGA calculation of an optimized crystal structure of BaGd2Tm, from Alexandria.

Cell lengths 3.6201, 3.6201, 12.9676 Å; angles 81.98, 81.98, 60.00 degrees
Fractional positions:
1 Gd 0.0941 0.0941 0.7177
2 Gd 0.9059 0.9059 0.2823
3 Tm 0.5000 0.5000 0.5000
4 Ba 0.0000 0.0000 0.0000

---

Run b
The following is a PBE-GGA calculation of an optimized crystal structure of BaGd2Tm, from Alexandria.

Cell lengths 3.7238, 3.7238, 10.6841 Å; angles 90.00, 90.00, 90.00 degrees
Fractional positions:
1 Gd 0.0000 0.0000 0.7871
2 Gd 0.0000 0.0000 0.2129
3 Tm 0.5000 0.5000 0.0000
4 Ba 0.5000 0.5000 0.5000

---

Most stable pick: run b. Distance to second place: 68 meV per atom.

---

Run a
The following is a PBE-GGA calculation of an optimized crystal structure of BaGdY, from Alexandria.

Cell lengths 3.7893, 3.7893, 8.7006 Å; angles 102.58, 102.58, 90.00 degrees
Fractional positions:
1 Y 0.6816 0.6816 0.3631
2 Gd 0.3174 0.3174 0.6347
3 Ba 0.0011 0.0011 0.0022

---

Run b
The following is a PBE-GGA calculation of an optimized crystal structure of BaGdY, from Alexandria.

Cell lengths 3.7905, 3.7905, 9.3826 Å; angles 90.00, 90.00, 120.00 degrees
Fractional positions:
1 Y 0.3333 0.6667 0.6463
2 Gd 0.6667 0.3333 0.3559
3 Ba 0.0000 0.0000 0.9978

---

Most stable pick: run a. Distance to second place: 8 meV per atom.

---

Run a
The following is a PBE-GGA calculation of an optimized crystal structure of BaGd2Zn, from Alexandria.

Cell lengths 3.7197, 3.7197, 11.7135 Å; angles 80.86, 80.86, 60.00 degrees
Fractional positions:
1 Zn 0.5000 0.5000 0.5000
2 Gd 0.1062 0.1062 0.6815
3 Gd 0.8938 0.8938 0.3185
4 Ba 0.0000 0.0000 0.0000

---

Run b
The following is a PBE-GGA calculation of an optimized crystal structure of BaGd2Zn, from Alexandria.

Cell lengths 3.7168, 3.7168, 9.6715 Å; angles 90.00, 90.00, 90.00 degrees
Fractional positions:
1 Zn 0.5000 0.5000 0.0000
2 Gd 0.0000 0.0000 0.8296
3 Gd 0.0000 0.0000 0.1704
4 Ba 0.5000 0.5000 0.5000

---

Most stable pick: run b. Distance to second place: 198 meV per atom.

---

Run a
The following is a PBE-GGA calculation of an optimized crystal structure of Ba3Ge4, from Alexandria.

Cell lengths 4.3449, 5.0833, 10.5071 Å; angles 104.00, 101.93, 90.00 degrees
Fractional positions:
1 Ba 0.5000 0.0000 0.0000
2 Ba 0.1820 0.1820 0.3640
3 Ba 0.8180 0.8180 0.6360
4 Ge 0.0662 0.5662 0.1324
5 Ge 0.9338 0.4338 0.8676
6 Ge 0.6392 0.6392 0.2783
7 Ge 0.3608 0.3608 0.7217

---

Run b
The following is a PBE-GGA calculation of an optimized crystal structure of Ba3Ge4, from Alexandria.

Cell lengths 8.5729, 8.5729, 12.2435 Å; angles 90.00, 90.00, 92.12 degrees
Fractional positions:
1 Ba 0.0000 0.5000 0.7437
2 Ba 0.5000 0.0000 0.2563
3 Ba 0.0000 0.5000 0.2563
4 Ba 0.5000 0.0000 0.7437
5 Ba 0.5000 0.5000 0.3250
6 Ba 0.5000 0.5000 0.6750
7 Ba 0.0000 0.0000 0.1611
8 Ba 0.0000 0.0000 0.8389
9 Ba 0.3363 0.3363 0.0000
10 Ba 0.6637 0.6637 0.0000
11 Ba 0.8414 0.1586 0.5000
12 Ba 0.1586 0.8414 0.5000
13 Ge 0.8023 0.8023 0.3490
14 Ge 0.1977 0.1977 0.3490
15 Ge 0.8023 0.8023 0.6510
16 Ge 0.1977 0.1977 0.6510
17 Ge 0.2965 0.7035 0.1361
18 Ge 0.7035 0.2965 0.1361
19 Ge 0.7035 0.2965 0.8639
20 Ge 0.2965 0.7035 0.8639
21 Ge 0.0620 0.6586 0.0000
22 Ge 0.9380 0.3414 0.0000
23 Ge 0.6586 0.0620 0.0000
24 Ge 0.3414 0.9380 0.0000
25 Ge 0.5883 0.8006 0.5000
26 Ge 0.4117 0.1994 0.5000
27 Ge 0.8006 0.5883 0.5000
28 Ge 0.1994 0.4117 0.5000

---

Most stable pick: run b. Distance to second place: 27 meV per atom.